A plane-wave DFT calculation with PBE was carried out for a relaxed PaTl2Te4Au2 crystal.

crystal system	monoclinic
ΔE_f (raw)	-3.9	eV/f.u.
space-group type	C2/m (12)

Unit cell a=4.3494 b=8.6799 c=8.1131 alpha=107.77 beta=105.55 gamma=90.00
Last column: nearest neighbours and their distance in Å.
Atoms (fractional coordinates):
Te1 0.1999 0.2107 0.3998  3 Au 2.84-3.00, 1 Pa 3.08
Tl1 0.1347 0.5813 0.2694  7 Te 3.42-3.75
Te2 0.4884 0.2496 0.9767  1 Au 2.75
Au1 0.6761 0.9915 0.3523  4 Te 2.75-3.00
Tl2 0.8653 0.4187 0.7306  7 Te 3.42-3.75
Te3 0.5116 0.7504 0.0233  1 Au 2.75
Te4 0.8001 0.7893 0.6002  3 Au 2.84-3.00, 1 Pa 3.08
Au2 0.3239 0.0085 0.6477  4 Te 2.75-3.00
Pa1 0.0000 0.0000 0.0000  6 Te 3.08-3.12